1.
RbNa3Te: relaxed, GGA-PBEsol.

Structure (extended XYZ):
```
5
Lattice="6.0771 0.0000 0.0000 0.0000 6.0771 0.0000 0.0000 0.0000 6.0771" Properties=species:S:1:pos:R:3 pbc="T T T"
Te 3.0386 3.0386 3.0386
Na 0.0000 3.0386 0.0000
Na 3.0386 0.0000 0.0000
Rb 0.0000 0.0000 0.0000
Na 0.0000 0.0000 3.0386
```

Output
The theoretical density comes out at 2.087 g cm⁻³. As for the energy relative to the elements, uncorrected: 35.6 kJ/mol of atoms. For the total energy, the calculation gives -6.9 eV/cell.

***

2.
RbNa3Tl: relaxed, GGA-PBEsol.

Structure (extended XYZ):
```
5
Lattice="6.0431 0.0000 0.0000 0.0000 6.0431 0.0000 0.0000 0.0000 6.0431" Properties=species:S:1:pos:R:3 pbc="T T T"
Na 0.0000 0.0000 3.0216
Tl 0.0000 0.0000 0.0000
Na 0.0000 3.0216 0.0000
Rb 3.0216 3.0216 3.0216
Na 3.0216 0.0000 0.0000
```

Output
The theoretical density comes out at 2.700 g cm⁻³. As for the formation energy: 0.01 eV per atom. For the total energy, the calculation gives -7.8 eV/cell.

***

3.
RbNa2Tl: relaxed, GGA-PBEsol.

Structure (extended XYZ):
```
4
Lattice="5.8712 0.0000 0.0000 2.9356 5.0846 0.0000 2.9356 1.6949 4.7938" Properties=species:S:1:pos:R:3 pbc="T T T"
Na 8.8067 5.0846 3.5953
Tl 5.8712 3.3897 2.3969
Na 2.9356 1.6949 1.1984
Rb 0.0000 0.0000 0.0000
```

Output
For the energy relative to the lowest polymorph listed for this composition, the calculation gives 0.000 eV per atom. The theoretical density comes out at 3.897 g cm⁻³. As for the formation energy: 0.02 eV per atom. For the total energy, the calculation gives -6.4 eV/cell.

***

4.
RbNa2Tl2: relaxed, GGA-PBEsol.

Structure (extended XYZ):
```
5
Lattice="-1.5431 -1.7428 -4.5620 4.7166 0.7085 -1.8661 0.1350 -5.9609 5.1064" Properties=species:S:1:pos:R:3 pbc="T T T"
Rb 0.0000 0.0000 0.0000
Tl 1.3553 -5.0991 1.4895
Tl 1.9533 -1.8961 -2.8112
Na 3.2192 -2.8848 0.0131
Na 0.0893 -4.1104 -1.3348
```

Output
For the energy relative to the lowest polymorph listed for this composition, the calculation gives 0.048 eV per atom. The theoretical density comes out at 4.910 g cm⁻³. As for the formation energy: 0.00 eV per atom. For the total energy, the calculation gives -9.1 eV/cell.

***

Please write out number 4 again, unchanged.
RbNa2Tl2: relaxed, GGA-PBEsol.

Structure (extended XYZ):
```
5
Lattice="-1.5431 -1.7428 -4.5620 4.7166 0.7085 -1.8661 0.1350 -5.9609 5.1064" Properties=species:S:1:pos:R:3 pbc="T T T"
Rb 0.0000 0.0000 0.0000
Tl 1.3553 -5.0991 1.4895
Tl 1.9533 -1.8961 -2.8112
Na 3.2192 -2.8848 0.0131
Na 0.0893 -4.1104 -1.3348
```

Output
For the energy relative to the lowest polymorph listed for this composition, the calculation gives 0.048 eV per atom. The theoretical density comes out at 4.910 g cm⁻³. As for the formation energy: 0.00 eV per atom. For the total energy, the calculation gives -9.1 eV/cell.

***

Which formula does entry 2 have?
RbNa3Tl

***

Copy entry 1 word for word.
RbNa3Te: relaxed, GGA-PBEsol.

Structure (extended XYZ):
```
5
Lattice="6.0771 0.0000 0.0000 0.0000 6.0771 0.0000 0.0000 0.0000 6.0771" Properties=species:S:1:pos:R:3 pbc="T T T"
Te 3.0386 3.0386 3.0386
Na 0.0000 3.0386 0.0000
Na 3.0386 0.0000 0.0000
Rb 0.0000 0.0000 0.0000
Na 0.0000 0.0000 3.0386
```

Output
The theoretical density comes out at 2.087 g cm⁻³. As for the energy relative to the elements, uncorrected: 35.6 kJ/mol of atoms. For the total energy, the calculation gives -6.9 eV/cell.

***

The highest theoretical density belongs to which entry?
RbNa2Tl2